LiAs2Au | PBE-GGA | relaxed

It has space group Cc (No. 9), with a = 6.753 Å, b = 10.069 Å, c = 5.715 Å, α = 90.00°, β = 122.42° and γ = 90.00°. The asymmetric unit holds Li at (0.000, 0.174, 0.000), As at (0.330, 0.118, 0.666), As at (0.455, 0.113, 0.160) and Au at (0.393, 0.407, 0.918).

The value obtained for the uncorrected energy is -3.911 eV/atom. Its mass density is 7162 kg/m3. Its energy above the most stable polymorph in this dataset is 0.0 kJ per mole of atoms.



K4FeAsP | PBE-GGA | relaxed

It has space group R3m (No. 160, hexagonal axes), with a = 5.7032 Å, b = 5.7032 Å, c = 26.4926 Å, α = 90.00°, β = 90.00° and γ = 120.00°. The asymmetric unit holds K at (0.0000, 0.0000, 0.0000), K at (0.0000, 0.0000, 0.1740), K at (0.0000, 0.0000, 0.3982), K at (0.0000, 0.0000, 0.5771), Fe at (0.0000, 0.0000, 0.7846), As at (0.0000, 0.0000, 0.8714) and P at (0.0000, 0.0000, 0.7022).

The value obtained for the uncorrected energy is -3.420 eV/atom. Its mass density is 2124 kg/m3.



ErZnNi | PBE-GGA | relaxed

It has space group Pnma (No. 62), with a = 6.675 Å, b = 3.967 Å, c = 7.871 Å, α = 90.00°, β = 90.00° and γ = 90.00°. The asymmetric unit holds Er at (0.039, 0.250, 0.184), Zn at (0.140, 0.250, 0.561) and Ni at (0.242, 0.750, 0.375).

The value obtained for the uncorrected energy is -4.285 eV/atom. Its mass density is 9284 kg/m3. For the formation energy, the calculation gives -0.4862 eV per atom.



TaTc2B2 | PBE-GGA | relaxed

It has space group P4/mbm (No. 127), with a = 6.204 Å, b = 6.204 Å, c = 2.992 Å, α = 90.00°, β = 90.00° and γ = 90.00°. The asymmetric unit holds Ta at (0.000, 0.000, 0.000), Tc at (0.161, 0.339, 0.500) and B at (0.120, 0.620, 0.000).

The value obtained for the uncorrected energy is -9.535 eV/atom. Its mass density is 11495 kg/m3. Its energy above the most stable polymorph in this dataset is 0.0 kJ per mole of atoms.



Co4SnSb12 | PBE-GGA | relaxed

It has space group Im-3 (No. 204), with a = 9.176 Å, b = 9.176 Å, c = 9.176 Å, α = 90.00°, β = 90.00° and γ = 90.00°. The asymmetric unit holds Co at (0.250, 0.250, 0.250), Sn at (0.000, 0.000, 0.000) and Sb at (0.000, 0.160, 0.332).

The value obtained for the uncorrected energy is -4.940 eV/atom. Its mass density is 7805 kg/m3.



CoSnWAu | PBE-GGA | relaxed

It has space group F-43m (No. 216), with a = 6.410 Å, b = 6.410 Å, c = 6.410 Å, α = 90.00°, β = 90.00° and γ = 90.00°. The asymmetric unit holds Co at (0.000, 0.000, 0.000), Sn at (0.250, 0.250, 0.750), W at (0.250, 0.250, 0.250) and Au at (0.000, 0.000, 0.500).

The value obtained for the uncorrected energy is -6.210 eV/atom. Its mass density is 14086 kg/m3. Its energy above the most stable polymorph in this dataset is 7.1 kJ per mole of atoms.



Na2Nb2GaSiOs2 | PBE-GGA | relaxed

It has space group P-4m2 (No. 115), with a = 4.455 Å, b = 4.455 Å, c = 6.305 Å, α = 90.00°, β = 90.00° and γ = 90.00°. The asymmetric unit holds Na at (0.000, 0.500, 0.249), Nb at (0.000, 0.000, 0.000), Nb at (0.500, 0.500, 0.500), Ga at (0.500, 0.500, 0.000), Si at (0.000, 0.000, 0.500) and Os at (0.000, 0.500, 0.742).

The value obtained for the uncorrected energy is -6.613 eV/atom. Its mass density is 9422 kg/m3.



PrYCl3 | PBE-GGA | relaxed

It has space group C2/m (No. 12), with a = 15.534 Å, b = 3.978 Å, c = 10.266 Å, α = 90.00°, β = 117.91° and γ = 90.00°. The asymmetric unit holds Pr at (0.091, 0.000, 0.446), Y at (0.139, 0.500, 0.797), Cl at (0.040, 0.500, 0.221), Cl at (0.161, 0.000, 0.006) and Cl at (0.232, 0.500, 0.628).

The value obtained for the uncorrected energy is -5.195 eV/atom. Its mass density is 3983 kg/m3.